[1]
Below is Sr2WBr after structural relaxation, with properties calculated at the GGA-PBE level.

```
4
Lattice="-5.8274 1.3737 2.0851 -5.6072 -1.9971 2.1826 1.9709 0.2828 5.3236" Properties=species:S:1:pos:R:3 pbc="T T T"
Sr 0.2282 0.0344 0.6732
Br -2.7642 -0.1288 1.7889
W -4.3441 -0.1272 5.4091
Sr -7.3155 -0.2893 6.5158
```

Properties
Its formation energy from raw total energies is 0.40 eV/atom. The calculation puts the total energy at -4.1004 eV per atom. The density of states at the Fermi level comes out at 1.0282 states/eV/atom. Its volume is 29.34 Å³/atom.

***

[2]
Below is Pr3InSi2Pd9 after structural relaxation, with properties calculated at the GGA-PBE level.

```
15
Lattice="-3.3113 4.7713 -2.4848 -1.9769 -5.9509 -0.7628 -5.1268 0.6639 8.1070" Properties=species:S:1:pos:R:3 pbc="T T T"
Pr 0.0000 0.0000 0.0000
Pd -4.9888 1.0095 5.0533
Pd -2.4650 -0.8647 1.6246
Pd -6.8429 3.6812 3.6620
Pd -0.9885 -2.9755 -0.3814
Pd -7.9499 0.3490 3.2348
Pd -1.6556 2.3856 -1.2424
Pd -2.6441 -0.5898 -1.6238
Pd -3.5720 -4.1970 1.1974
Pr -6.1176 -1.8982 4.5075
Pr -4.2974 1.3825 0.3519
Pd -5.4262 -1.5253 -0.1939
Si -7.1482 1.7517 4.8598
In -2.5634 0.3320 4.0535
Si -3.2668 -2.2674 -0.0004
```

Properties
Its formation energy from raw total energies is -0.62 eV/atom. The calculation puts the total energy at -5.5930 eV per atom. The density of states at the Fermi level comes out at 0.5199 states/eV/atom. Its volume is 22.15 Å³/atom.

***

[3]
Below is Pa3Se7 after structural relaxation, with properties calculated at the GGA-PBE level.

```
20
Lattice="-3.4830 2.9671 7.3564 -4.4669 -6.9019 -2.7319 8.2402 -2.2687 1.4157" Properties=species:S:1:pos:R:3 pbc="T T T"
Se -2.7857 -1.7928 4.5053
Se 0.0977 -2.0886 2.0337
Pa -2.5556 -1.2649 1.4866
Se -0.1008 -5.5690 0.4981
Se 3.0759 -4.4107 1.5350
Pa 3.2279 0.4739 5.9522
Pa 2.5603 -6.2226 -0.8931
Se -3.0316 -4.2600 1.9832
Se 2.7743 -0.7638 0.4767
Se 0.3911 -0.6345 5.5422
Se 3.3219 -1.9434 4.0570
Se 0.1926 -4.1148 4.0066
Se -1.1727 0.9990 2.4768
Pa 1.5292 0.2245 2.8199
Pa 1.2130 -2.9480 -0.4231
Se -2.3103 1.9681 4.8796
Se -1.5039 -2.3238 -0.9198
Se -2.9630 -4.5781 -1.8121
Pa -5.3943 -2.6699 3.1379
Se 5.4658 -1.5049 0.9391
```

Properties
Its formation energy from raw total energies is -1.23 eV/atom. The calculation puts the total energy at -6.5223 eV per atom. The density of states at the Fermi level comes out at 0.4209 states/eV/atom. Its volume is 25.03 Å³/atom.

***

[4]
Below is CrMoCl2 after structural relaxation, with properties calculated at the GGA-PBE level.

```
4
Lattice="-0.4016 -1.1588 -2.6528 -3.2443 -4.0963 2.2805 -3.3613 2.3693 -0.5261" Properties=species:S:1:pos:R:3 pbc="T T T"
Mo -3.3028 -0.8635 0.8772
Cl -1.8229 -2.6275 -0.1862
Cl 0.0000 0.0000 0.0000
Cr -1.8815 0.6053 -1.5895
```

Properties
Its formation energy from raw total energies is 0.45 eV/atom. The calculation puts the total energy at -5.5879 eV per atom. The density of states at the Fermi level comes out at 0.8280 states/eV/atom. Its volume is 17.27 Å³/atom.

***

[5]
Below is Re3SiRu after structural relaxation, with properties calculated at the GGA-PBE level.

```
5
Lattice="4.6551 0.0000 0.0000 0.0000 4.6551 0.0000 0.0000 0.0000 4.6551" Properties=species:S:1:pos:R:3 pbc="T T T"
Ru 0.0000 0.0000 0.0000
Re 2.3276 0.0000 0.0000
Re 0.0000 0.0000 2.3276
Re 0.0000 2.3276 0.0000
Si 2.3276 2.3276 2.3276
```

Properties
Its formation energy from raw total energies is 2.33 eV/atom. The calculation puts the total energy at -8.0749 eV per atom. The density of states at the Fermi level comes out at 1.2827 states/eV/atom. Its volume is 20.18 Å³/atom.

***

[6]
Below is AcMnP2 after structural relaxation, with properties calculated at the GGA-PBE level.

```
4
Lattice="-1.0076 -2.3125 -3.2041 -0.1636 -4.0564 0.3842 -5.4694 -1.7897 0.4166" Properties=species:S:1:pos:R:3 pbc="T T T"
Ac 0.0000 0.0000 0.0000
P -4.3033 -6.1634 -1.9833
P -2.3373 -1.9952 -0.4200
Mn -3.3203 -4.0793 -1.2017
```

Properties
The calculation puts the total energy at -6.7366 eV per atom. The density of states at the Fermi level comes out at 0.7697 states/eV/atom. Its volume is 18.97 Å³/atom.

***

[7]
Below is YMg2Tl2Cd2 after structural relaxation, with properties calculated at the GGA-PBE level.

```
7
Lattice="-4.0987 2.4203 -1.0790 0.9660 -4.3063 -2.2900 -3.2616 -2.1767 7.5069" Properties=species:S:1:pos:R:3 pbc="T T T"
Mg -4.5358 -0.8122 4.3693
Tl -3.2997 -3.5317 4.6126
Cd -1.6727 -1.7644 2.3962
Y 0.0000 0.0000 0.0000
Mg -1.8585 -3.2505 -0.2315
Cd -4.7216 -2.2983 1.7417
Tl -3.0946 -0.5311 -0.4747
```

Properties
The calculation puts the total energy at -2.4684 eV per atom. The density of states at the Fermi level comes out at 0.3725 states/eV/atom. Its volume is 24.41 Å³/atom.

***

[8]
Below is YPbC2O6 after structural relaxation, with properties calculated at the GGA-PBE level.

```
20
Lattice="6.4381 0.8237 -0.0848 0.0293 6.4905 -0.0848 -1.8835 -2.1302 6.4886" Properties=species:S:1:pos:R:3 pbc="T T T"
O -1.0627 2.3810 4.7805
O 1.0949 0.3356 3.6848
O 1.8193 0.3689 5.7540
O 2.7645 4.8151 0.5650
Y 3.2944 2.6545 1.5374
Y 1.2894 2.5295 4.7816
C 1.3468 -0.3530 4.7487
Pb 4.7498 -0.5302 4.7816
O 1.1408 2.1929 0.4405
O 1.0852 2.9158 2.5097
C 0.4266 2.3585 1.5044
C 3.2370 5.5370 1.5703
Pb -0.1660 5.7142 1.5374
O 3.4986 2.2681 3.8093
O 3.4430 2.9911 5.8785
O 3.4888 4.8484 2.6342
O 1.1489 4.8821 4.7828
C 4.1572 2.8255 4.8146
O 5.6465 2.8030 1.5385
O 3.4349 0.3019 1.5362
```

Properties
Its formation energy from raw total energies is -1.79 eV/atom. The calculation puts the total energy at -7.6314 eV per atom. The density of states at the Fermi level comes out at 0.1176 states/eV/atom. Its volume is 13.45 Å³/atom.

***

[9]
Below is BaUInS6 after structural relaxation, with properties calculated at the GGA-PBE level.

```
9
Lattice="-3.9455 -4.8113 -3.5209 3.3262 1.3301 -5.5448 2.1358 -4.7338 4.0752" Properties=species:S:1:pos:R:3 pbc="T T T"
S 0.6705 -2.3276 -1.6751
U 0.9566 -3.0968 -4.0986
S 3.4699 -3.1938 -3.6285
S 0.9965 -3.6022 -6.6065
In -1.9727 -2.4056 -1.7605
S 1.3012 -0.6332 -4.6973
Ba 2.5326 -2.7125 0.8685
S 0.8970 -5.6277 -3.7273
S -1.5952 -3.1964 -4.2569
```

Properties
Its formation energy from raw total energies is -0.96 eV/atom. The calculation puts the total energy at -5.4840 eV per atom. The density of states at the Fermi level comes out at 1.2108 states/eV/atom. Its volume is 29.98 Å³/atom.

***

[10]
Below is SrMg2Pb after structural relaxation, with properties calculated at the GGA-PBE level.

```
4
Lattice="-4.0477 -0.4927 -0.1172 0.3752 -2.2865 -3.3573 0.6125 -6.0246 4.1716" Properties=species:S:1:pos:R:3 pbc="T T T"
Mg 0.2817 -2.7713 1.9189
Pb -1.6831 -2.8957 -0.6944
Mg 0.0245 -0.2410 0.1669
Sr -1.3769 -5.9080 1.3914
```

Properties
The calculation puts the total energy at -2.2466 eV per atom. The density of states at the Fermi level comes out at 0.5252 states/eV/atom. Its volume is 30.59 Å³/atom.

***

Look up the volume of the fifth one.
20.18 Å³/atom